No. 1
Material: YV3W
Method: DFT, PBE
State: optimized geometry

Relative energy among the computed polymorphs in eV/atom: 0.000
ΔH_f (0 K) in eV per atom: 0.906
Uncorrected energy in eV per atom: -8.4485
Total magnetic moment in μB per atom: 0.000

Cell lengths 4.6758, 4.6758, 4.6758 Å; angles 90.00, 90.00, 90.00 degrees
Space group Pm-3m (No. 221)
Asymmetric unit:
Y 0.0000 0.0000 0.0000
V 0.0000 0.5000 0.5000
W 0.5000 0.5000 0.5000

=====

No. 2
Material: BaCa3Tl2
Method: DFT, PBE
State: optimized geometry

Relative energy among the computed polymorphs in eV/atom: 0.000
ΔH_f (0 K) in eV per atom: -0.321
Uncorrected energy in eV per atom: -2.4311
Total magnetic moment in μB per atom: 0.000

Cell lengths 5.4217, 10.1931, 7.8335 Å; angles 90.00, 90.00, 90.00 degrees
Space group Pmc2_1 (No. 26)
Asymmetric unit:
Ba 0.0000 0.0593 0.0000
Ca 0.0000 0.3233 0.6262
Ca 0.5000 0.1964 0.3119
Ca 0.5000 0.4386 0.9411
Tl 0.0000 0.3728 0.2139
Tl 0.5000 0.1445 0.7255

=====

No. 3
Material: As2RuBrN
Method: DFT, PBE
State: optimized geometry

Relative energy among the computed polymorphs in eV/atom: 0.000
ΔE_f (raw) in meV per atom: 1200
Uncorrected energy in eV per atom: -4.5149
Total magnetic moment in μB per atom: 0.001

Cell lengths 4.3060, 4.3060, 4.3121 Å; angles 90.00, 90.00, 90.00 degrees
Space group P4/mmm (No. 123)
Asymmetric unit:
As 0.0000 0.5000 0.0000
Ru 0.0000 0.0000 0.5000
Br 0.5000 0.5000 0.5000
N 0.5000 0.5000 0.0000